Record 1
Entry from Alexandria: an optimized crystal structure of YTc2Ru (PBE).

Geometry as POSCAR:
```
YTc2Ru
1.0
4.742 0.000 0.000
0.000 3.811 0.000
0.000 0.000 3.811
Y Tc Ru
1 2 1
Direct
0.500 0.500 0.000 Y
0.000 0.500 0.500 Tc
0.000 0.000 0.000 Tc
0.500 0.000 0.500 Ru
```

Computed properties:
Relative energy among the computed polymorphs (meV/atom): 219
Calculated formation energy (eV per atom): 0.35
Magnetic moment (μB per formula unit): 0.00



Record 2
Entry from Alexandria: an optimized crystal structure of Y2TcRu3 (PBE).

Geometry as POSCAR:
```
Y2TcRu3
1.0
-4.675 1.659 2.247
0.235 -1.045 -5.339
-2.143 -8.042 1.480
Y Ru Tc
4 6 2
Direct
0.667 0.333 0.064 Y
0.333 0.667 0.564 Y
0.333 0.667 0.936 Y
0.667 0.333 0.436 Y
0.172 0.828 0.250 Ru
0.828 0.657 0.750 Ru
0.657 0.828 0.250 Ru
0.828 0.172 0.750 Ru
0.343 0.172 0.750 Ru
0.172 0.343 0.250 Ru
0.000 0.000 0.000 Tc
0.000 0.000 0.500 Tc
```

Computed properties:
Calculated formation energy (eV per atom): -0.28
Magnetic moment (μB per formula unit): 0.00



Record 3
Entry from Alexandria: an optimized crystal structure of YTc2Ru (PBE).

Geometry as POSCAR:
```
YTc2Ru
1.0
4.619 0.000 0.000
0.000 2.938 -0.035
0.000 0.910 4.991
Tc Y Ru
2 1 1
Direct
0.000 0.537 0.513 Tc
0.000 0.963 0.987 Tc
0.500 0.250 0.250 Y
0.500 0.750 0.750 Ru
```

Computed properties:
Relative energy among the computed polymorphs (meV/atom): 195
Calculated formation energy (eV per atom): 0.33
Magnetic moment (μB per formula unit): 0.00



Record 4
Entry from Alexandria: an optimized crystal structure of YTc2Ru (PBE).

Geometry as POSCAR:
```
YTc2Ru
1.0
-1.711 4.801 -0.943
-2.806 -4.058 -1.590
-1.426 -0.009 2.541
Ru Tc Y
1 2 1
Direct
0.000 0.500 0.500 Ru
0.500 0.500 0.000 Tc
0.000 0.000 0.000 Tc
0.500 0.000 0.500 Y
```

Computed properties:
Relative energy among the computed polymorphs (meV/atom): 286
Calculated formation energy (eV per atom): 0.42
Magnetic moment (μB per formula unit): 0.00



Record 5
Entry from Alexandria: an optimized crystal structure of YTc2Ru (PBE).

Geometry as POSCAR:
```
YTc2Ru
1.0
-1.126 0.741 -5.525
-2.271 -4.120 -3.197
-0.366 3.512 4.459
Tc Y Ru
2 1 1
Direct
0.028 0.028 0.000 Tc
0.472 0.472 0.000 Tc
0.750 0.250 0.500 Y
0.250 0.750 0.500 Ru
```

Computed properties:
Relative energy among the computed polymorphs (meV/atom): 81
Calculated formation energy (eV per atom): 0.21
Magnetic moment (μB per formula unit): 0.00



Record 6
Entry from Alexandria: an optimized crystal structure of YTc2Ru2 (PBE).

Geometry as POSCAR:
```
YTc2Ru2
1.0
-0.896 4.045 0.051
-0.830 -0.133 -4.057
-5.947 0.816 -0.926
Tc Ru Y
2 2 1
Direct
0.750 0.250 0.500 Tc
0.250 0.750 0.500 Tc
0.387 0.387 0.226 Ru
0.613 0.613 0.774 Ru
0.000 0.000 0.000 Y
```

Computed properties:
Relative energy among the computed polymorphs (meV/atom): 0
Calculated formation energy (eV per atom): 0.01
Magnetic moment (μB per formula unit): 0.00



Record 7
Entry from Alexandria: an optimized crystal structure of YTc2Ru2 (PBE).

Geometry as POSCAR:
```
YTc2Ru2
1.0
-4.260 -1.529 6.214
4.833 -5.661 1.920
1.533 1.816 1.498
Tc Ru Y
4 4 2
Direct
0.331 0.169 0.500 Tc
0.831 0.331 0.500 Tc
0.669 0.831 0.500 Tc
0.169 0.669 0.500 Tc
0.123 0.377 0.000 Ru
0.877 0.623 0.000 Ru
0.377 0.877 0.000 Ru
0.623 0.123 0.000 Ru
0.000 0.000 0.000 Y
0.500 0.500 0.000 Y
```

Computed properties:
Relative energy among the computed polymorphs (meV/atom): 64
Calculated formation energy (eV per atom): 0.07
Magnetic moment (μB per formula unit): 0.00



Record 8
Entry from Alexandria: an optimized crystal structure of YTc2Ru (PBE).

Geometry as POSCAR:
```
YTc2Ru
1.0
4.254 0.000 0.000
0.000 2.970 0.018
0.000 1.446 5.586
Y Tc Ru
1 2 1
Direct
0.000 0.442 0.497 Y
0.500 0.094 0.206 Tc
0.000 0.177 0.000 Tc
0.500 0.787 0.798 Ru
```

Computed properties:
Relative energy among the computed polymorphs (meV/atom): 77
Calculated formation energy (eV per atom): 0.21
Magnetic moment (μB per formula unit): 0.00